10
Lattice="-1.758 2.453 8.690 1.758 -2.453 8.690 1.758 2.453 -8.690" Properties=species:S:1:pos:R:3 comment="U5C4O | Alexandria via LeMat-Bulk | GGA-PBE | relaxed" sg="Immm, No. 71" e_form_raw_kj_per_mol_fu=-580.1 energy_ev_per_atom=-10.431 pbc="T T T"
U 0.000 0.000 0.000
U 0.000 0.000 3.481
U 0.000 0.000 6.964
U 0.000 0.000 10.417
U 0.000 0.000 13.899
C 1.758 0.000 1.720
C 1.758 0.000 5.257
C 0.000 2.453 3.433
C 0.000 2.453 6.971
O 0.000 2.453 0.000